Compound: Y2MoP
Source: Alexandria via LeMat-Bulk
Functional: PBE
Structure: optimized geometry

Cell: 5.0065 5.0065 4.9440 Å, 70.20 70.20 47.34°
Fractional coordinates of all 4 atoms:
P 0.5000 0.5000 0.0000
Y 0.2284 0.2284 0.7713
Y 0.7716 0.7716 0.2287
Mo 0.0000 0.0000 0.5000

As for the theoretical density: 5.98 Mg/m³. As for the total energy: -7.31 eV/atom. The calculation puts the density of states at the Fermi level at 2.696 states/eV/f.u. The value obtained for the formation energy is -0.0132 eV per atom.

***

Compound: LiCd6Rh
Source: Alexandria via LeMat-Bulk
Functional: PBE
Structure: optimized geometry

Cell: 5.7916 5.7916 5.7916 Å, 91.86 91.86 91.86°
Fractional coordinates of all 8 atoms:
Cd 0.5551 0.1738 0.1738
Cd 0.4449 0.8262 0.8262
Cd 0.1738 0.5551 0.1738
Cd 0.8262 0.8262 0.4449
Li 0.0000 0.0000 0.0000
Rh 0.5000 0.5000 0.5000
Cd 0.8262 0.4449 0.8262
Cd 0.1738 0.1738 0.5551

As for the theoretical density: 6.72 Mg/m³. For the relative energy among the computed polymorphs, the calculation gives 110 meV per atom. As for the total energy: -1.76 eV/atom. The calculation puts the density of states at the Fermi level at 1.997 states/eV/f.u. The value obtained for the formation energy is 0.0805 eV per atom.

***

Compound: KAgBr2
Source: Alexandria via LeMat-Bulk
Functional: PBE
Structure: optimized geometry

Cell: 7.8659 7.8659 7.0773 Å, 56.24 56.24 90.00°
Fractional coordinates of all 8 atoms:
Ag 0.0000 0.0000 0.0000
K 0.5000 0.5000 0.0000
Br 0.8750 0.9282 0.7500
Ag 0.7500 0.2500 0.5000
Br 0.3750 0.3218 0.7500
Br 0.6782 0.1250 0.2500
K 0.2500 0.7500 0.5000
Br 0.0718 0.6250 0.2500

As for the theoretical density: 3.76 Mg/m³. As for the total energy: -2.83 eV/atom. The calculation puts the density of states at the Fermi level at 0.000 states/eV/f.u. As for the formation energy (no corrections): -1.010 eV/atom.